Density functional theory data (GGA-PBE) for a relaxed structure of MgGa2F.

Cell lengths 4.7087, 4.7087, 4.7087 Å; angles 60.00, 60.00, 60.00 degrees
Element x y z (fractional)
Mg 0.0000 0.0000 0.0000
Ga 0.2500 0.2500 0.2500
Ga 0.7500 0.7500 0.7500
F 0.5000 0.5000 0.5000

Properties
* energy above the most stable polymorph in this dataset: 374 meV/atom
* E_tot: -11.27 eV/cell